DFT (PBE-GGA) results for a relaxed structure of CsKRb2Ge.

For the energy relative to the elements, the calculation gives 0.124 eV/atom. The volume comes out at 346.6 Å³ per cell.

a = 7.1106 Å, b = 7.1106 Å, c = 6.8558 Å
α = 90.00°, β = 90.00°, γ = 90.00°
With the nearest neighbours (Å) after each atom.
Atoms (fractional coordinates):
Cs 0.5000 0.5000 0.5000  8 Rb 4.94, 4 K 5.03
Rb 0.5000 0.0000 0.0000  2 Ge 3.56
Rb 0.0000 0.5000 0.0000  2 Ge 3.56
K 0.0000 0.0000 0.5000  2 Ge 3.43
Ge 0.0000 0.0000 0.0000  2 K 3.43, 4 Rb 3.56